No. 1
The following is a DFT calculation (PBE-GGA) of a relaxed structure of BePt2O.

The value obtained for the uncorrected formation energy is 0.2 eV per formula unit. For the total energy, the calculation gives -0.1894 Ha/atom. The energy above the most stable polymorph in this dataset is 0.0 meV/atom.

Unit cell a=3.887 b=3.887 c=14.140 alpha=90.00 beta=90.00 gamma=90.00
Space group I-42d (No. 122)
One atom of each set of equivalent atoms:
1 Be 0.000 0.000 0.000
2 Pt 0.240 0.250 0.625
3 O 0.000 0.000 0.500

No. 2
The following is a DFT calculation (PBE-GGA) of a relaxed structure of BePtO3.

The value obtained for the uncorrected formation energy is 1.6 eV per formula unit. For the total energy, the calculation gives -0.1694 Ha/atom.

Unit cell a=3.881 b=3.881 c=3.881 alpha=90.00 beta=90.00 gamma=90.00
Space group Pm-3m (No. 221)
One atom of each set of equivalent atoms:
1 Be 0.000 0.000 0.000
2 Pt 0.500 0.500 0.500
3 O 0.000 0.500 0.500

No. 3
The following is a DFT calculation (PBE-GGA) of a relaxed structure of BePtO3.

The value obtained for the uncorrected formation energy is -1.5 eV per formula unit. For the total energy, the calculation gives -0.1920 Ha/atom.

Unit cell a=3.462 b=3.462 c=3.462 alpha=90.00 beta=90.00 gamma=90.00
Space group Pm-3m (No. 221)
One atom of each set of equivalent atoms:
1 Be 0.000 0.000 0.000
2 Pt 0.500 0.500 0.500
3 O 0.000 0.000 0.500

No. 4
The following is a DFT calculation (PBE-GGA) of a relaxed structure of BePt2O.

The value obtained for the uncorrected formation energy is 0.6 eV per formula unit. For the total energy, the calculation gives -0.1850 Ha/atom. The energy above the most stable polymorph in this dataset is 118.0 meV/atom.

Unit cell a=5.721 b=5.721 c=5.721 alpha=90.00 beta=90.00 gamma=90.00
Space group Fm-3m (No. 225)
One atom of each set of equivalent atoms:
1 Be 0.000 0.000 0.000
2 Pt 0.250 0.250 0.250
3 O 0.000 0.000 0.500

No. 5
The following is a DFT calculation (PBE-GGA) of a relaxed structure of Be2PtO.

The value obtained for the uncorrected formation energy is -4.8 eV per formula unit. For the total energy, the calculation gives -0.2141 Ha/atom.

Unit cell a=4.901 b=4.901 c=7.018 alpha=90.00 beta=90.00 gamma=90.00
Space group I-42d (No. 122)
One atom of each set of equivalent atoms:
1 Be 0.137 0.250 0.125
2 Pt 0.000 0.000 0.500
3 O 0.000 0.000 0.000

No. 6
The following is a DFT calculation (PBE-GGA) of a relaxed structure of BePt3O.

The value obtained for the uncorrected formation energy is 3.2 eV per formula unit. For the total energy, the calculation gives -0.1738 Ha/atom. The energy above the most stable polymorph in this dataset is 0.0 meV/atom.

Unit cell a=4.203 b=4.203 c=4.203 alpha=90.00 beta=90.00 gamma=90.00
Space group Pm-3m (No. 221)
One atom of each set of equivalent atoms:
1 Be 0.000 0.000 0.000
2 Pt 0.000 0.500 0.500
3 O 0.500 0.500 0.500

No. 7
The following is a DFT calculation (PBE-GGA) of a relaxed structure of PuBe2PtO8.

The value obtained for the uncorrected formation energy is -16.1 eV per formula unit. For the total energy, the calculation gives -0.2561 Ha/atom.

Unit cell a=5.2548 b=5.2548 c=5.9894 alpha=90.00 beta=90.00 gamma=120.00
Space group P-3m1 (No. 164)
One atom of each set of equivalent atoms:
1 Pu 0.0000 0.0000 0.0000
2 Be 0.3333 0.6667 0.2116
3 Pt 0.0000 0.0000 0.5000
4 O 0.1600 0.3201 0.2709
5 O 0.3333 0.6667 0.9466

No. 8
The following is a DFT calculation (PBE-GGA) of a relaxed structure of BeSbPtO2.

The value obtained for the uncorrected formation energy is 1.0 eV per formula unit. For the total energy, the calculation gives -0.1677 Ha/atom.

Unit cell a=3.770 b=3.770 c=6.681 alpha=90.00 beta=90.00 gamma=90.00
Space group P4/mmm (No. 123)
One atom of each set of equivalent atoms:
1 Be 0.000 0.000 0.000
2 Sb 0.000 0.000 0.500
3 Pt 0.500 0.500 0.000
4 O 0.000 0.500 0.500